Entry 1:
Material: Lu2ReMo
Method: DFT, PBE-GGA
State: relaxed

Results
For the formation energy, the calculation gives 294.6 meV per atom. The value obtained for the volume is 77 Å³/cell.

```
Lu2ReMo
1.0
0.000 3.375 3.375
3.375 0.000 3.375
3.375 3.375 0.000
Lu Mo Re
2 1 1
Direct
0.250 0.250 0.250
0.500 0.500 0.500
0.750 0.750 0.750
0.000 0.000 0.000
```



Entry 2:
Material: LuReMo
Method: DFT, PBE-GGA
State: relaxed

Results
For the formation energy, the calculation gives 1740.8 meV per atom. For the excess energy over the best structure of this formula in the dataset, the calculation gives 3.82 eV per formula unit. The value obtained for the volume is 63 Å³/cell.

```
LuReMo
1.0
0.000 3.155 3.155
3.155 0.000 3.155
3.155 3.155 0.000
Lu Mo Re
1 1 1
Direct
0.000 0.000 0.000
0.250 0.250 0.250
0.750 0.750 0.750
```



Entry 3:
Material: LuSbMo
Method: DFT, PBE-GGA
State: relaxed

Results
The calculation puts the raw total energy at -6.271 eV/atom. The value obtained for the volume is 71 Å³/cell.

```
LuSbMo
1.0
1.755 -3.829 1.976
-0.333 -0.605 4.601
-2.854 -3.247 1.719
Lu Mo Sb
1 1 1
Direct
0.250 0.250 0.250
0.000 0.000 0.000
0.750 0.750 0.750
```



Entry 4:
Material: Lu2SbMo
Method: DFT, PBE-GGA
State: relaxed

Results
The calculation puts the raw total energy at -5.968 eV/atom. The value obtained for the volume is 86 Å³/cell.

```
Lu2SbMo
1.0
-0.860 -2.857 -3.944
-3.021 1.576 -3.584
1.843 1.257 -4.413
Lu Mo Sb
2 1 1
Direct
0.000 0.000 0.000
0.750 0.750 0.750
0.250 0.250 0.250
0.500 0.500 0.500
```